No. 1
Tb3AsC (PBE-GGA, optimized geometry); volume = 21.68 Å³/atom; VASP energy = -6.31 eV/atom; formation energy from the elements = -0.75 eV per atom
1.0
8.034 0.000 0.000
0.000 3.882 0.000
0.000 0.000 13.905
Tb As C
12 4 4
Direct
0.017 0.250 0.102 Tb
0.167 0.250 0.515 Tb
0.195 0.750 0.294 Tb
0.305 0.250 0.794 Tb
0.333 0.750 0.015 Tb
0.483 0.750 0.602 Tb
0.517 0.250 0.398 Tb
0.667 0.250 0.985 Tb
0.695 0.750 0.206 Tb
0.805 0.250 0.706 Tb
0.833 0.750 0.485 Tb
0.983 0.750 0.898 Tb
0.092 0.750 0.680 As
0.408 0.250 0.180 As
0.592 0.750 0.820 As
0.908 0.250 0.320 As
0.175 0.250 0.945 C
0.325 0.750 0.445 C
0.675 0.250 0.555 C
0.825 0.750 0.055 C

***

No. 2
Sc4Cd3Ni (PBE-GGA, optimized geometry); volume = 20.61 Å³/atom; VASP energy = -4.57 eV/atom; formation energy from the elements = -0.34 eV per atom
1.0
3.253 0.000 0.000
0.000 3.253 0.000
0.000 0.000 15.577
Sc Cd Ni
4 3 1
Direct
0.000 0.000 0.098 Sc
0.000 0.000 0.366 Sc
0.000 0.000 0.634 Sc
0.000 0.000 0.902 Sc
0.500 0.500 0.234 Cd
0.500 0.500 0.500 Cd
0.500 0.500 0.766 Cd
0.500 0.500 0.000 Ni

***

No. 3
Pm8Pr (PBE-GGA, optimized geometry); volume = 34.61 Å³/atom; VASP energy = -4.74 eV/atom; formation energy from the elements = 0.01 eV per atom
1.0
-5.486 5.486 2.587
5.486 -5.486 2.587
5.486 5.486 -2.587
Pm Pr
8 1
Direct
0.000 0.334 0.334 Pm
0.000 0.666 0.666 Pm
0.333 0.333 0.666 Pm
0.333 0.667 0.000 Pm
0.334 0.000 0.334 Pm
0.666 0.000 0.666 Pm
0.667 0.333 0.000 Pm
0.667 0.667 0.334 Pm
0.000 0.000 0.000 Pr

***

No. 4
LaNdPtBr (PBE-GGA, optimized geometry); volume = 30.67 Å³/atom; VASP energy = -5.63 eV/atom; formation energy without anion corrections = -5.11 eV/f.u.
1.0
2.111 1.219 7.944
-2.111 1.219 7.944
0.000 -2.438 7.944
La Nd Pt Br
1 1 1 1
Direct
0.000 0.000 0.000 La
0.799 0.799 0.799 Nd
0.400 0.400 0.400 Pt
0.230 0.230 0.230 Br

***

No. 5
InSbPdI2 (PBE-GGA, optimized geometry); volume = 33.97 Å³/atom; VASP energy = -2.99 eV/atom; formation energy without anion corrections = 0.19 eV/f.u.
1.0
5.750 0.000 0.000
0.000 5.750 0.000
0.000 0.000 5.137
In Sb Pd I
1 1 1 2
Direct
0.000 0.000 0.000 In
0.500 0.500 0.000 Sb
0.500 0.500 0.500 Pd
0.000 0.500 0.500 I
0.500 0.000 0.500 I

***

No. 6
KLi2BSb (PBE-GGA, optimized geometry); volume = 23.98 Å³/atom; VASP energy = -2.49 eV/atom; formation energy without anion corrections = 3.27 eV/f.u.
1.0
4.758 0.000 0.000
0.000 4.758 0.000
0.000 0.000 5.294
K Li B Sb
1 2 1 1
Direct
0.000 0.000 0.000 K
0.000 0.500 0.500 Li
0.500 0.000 0.500 Li
0.000 0.000 0.500 B
0.500 0.500 0.000 Sb

***

No. 7
ZnFeS3 (PBE-GGA, optimized geometry); volume = 18.07 Å³/atom; VASP energy = -4.10 eV/atom; formation energy without anion corrections = 1.64 eV/f.u.
1.0
4.487 0.000 0.000
0.000 4.487 0.000
0.000 0.000 4.487
Zn Fe S
1 1 3
Direct
0.000 0.000 0.000 Zn
0.500 0.500 0.500 Fe
0.000 0.500 0.500 S
0.500 0.000 0.500 S
0.500 0.500 0.000 S

***

No. 8
ThTl2PbS4 (PBE-GGA, optimized geometry); volume = 29.09 Å³/atom; VASP energy = -5.08 eV/atom; formation energy without anion corrections = -8.26 eV/f.u.
1.0
7.370 0.000 0.000
0.000 4.247 0.000
-2.403 0.000 7.434
Th Tl Pb S
1 2 1 4
Direct
0.000 0.000 0.000 Th
0.000 0.500 0.500 Tl
0.500 0.000 0.500 Tl
0.500 0.500 0.000 Pb
0.217 0.500 0.204 S
0.241 0.000 0.791 S
0.759 0.000 0.209 S
0.783 0.500 0.796 S

***

No. 9
PPdC3 (PBE-GGA, optimized geometry); volume = 9.77 Å³/atom; VASP energy = -5.72 eV/atom; formation energy from the elements = 1.93 eV per atom
1.0
3.655 0.000 0.000
0.000 3.655 0.000
0.000 0.000 3.655
P Pd C
1 1 3
Direct
0.000 0.000 0.000 P
0.500 0.500 0.500 Pd
0.000 0.000 0.500 C
0.000 0.500 0.000 C
0.500 0.000 0.000 C

***

No. 10
LiThAlTl (PBE-GGA, optimized geometry); volume = 24.60 Å³/atom; VASP energy = -3.93 eV/atom; formation energy from the elements = -0.07 eV per atom
1.0
0.000 3.664 3.664
3.664 0.000 3.664
3.664 3.664 0.000
Li Th Al Tl
1 1 1 1
Direct
0.000 0.000 0.000 Li
0.500 0.500 0.500 Th
0.750 0.750 0.750 Al
0.250 0.250 0.250 Tl

***

No. 11
Tb4Pm3PuS8 (PBE-GGA, optimized geometry); volume = 22.14 Å³/atom; VASP energy = -7.01 eV/atom; formation energy without anion corrections = -32.00 eV/f.u.
1.0
3.967 2.291 6.497
-3.967 2.291 6.497
0.000 -4.581 6.497
Tb Pm Pu S
4 3 1 8
Direct
0.000 0.000 0.000 Tb
0.000 0.500 0.500 Tb
0.500 0.000 0.500 Tb
0.500 0.500 0.000 Tb
0.000 0.000 0.500 Pm
0.000 0.500 0.000 Pm
0.500 0.000 0.000 Pm
0.500 0.500 0.500 Pu
0.249 0.249 0.744 S
0.249 0.744 0.249 S
0.253 0.253 0.253 S
0.256 0.751 0.751 S
0.744 0.249 0.249 S
0.747 0.747 0.747 S
0.751 0.256 0.751 S
0.751 0.751 0.256 S

***

No. 12
LaYAsSe2 (PBE-GGA, optimized geometry); volume = 37.58 Å³/atom; VASP energy = -4.78 eV/atom; formation energy without anion corrections = -0.91 eV/f.u.
1.0
5.181 0.000 0.000
0.000 5.181 0.000
0.000 0.000 7.000
La Y As Se
1 1 1 2
Direct
0.000 0.000 0.000 La
0.000 0.000 0.500 Y
0.500 0.500 0.000 As
0.000 0.500 0.500 Se
0.500 0.000 0.500 Se

***

volume of number 8 (ThTl2PbS4)? 29.09 Å³/atom

***

Please write out number 6 again, unchanged.
KLi2BSb (PBE-GGA, optimized geometry); volume = 23.98 Å³/atom; VASP energy = -2.49 eV/atom; formation energy without anion corrections = 3.27 eV/f.u.
1.0
4.758 0.000 0.000
0.000 4.758 0.000
0.000 0.000 5.294
K Li B Sb
1 2 1 1
Direct
0.000 0.000 0.000 K
0.000 0.500 0.500 Li
0.500 0.000 0.500 Li
0.000 0.000 0.500 B
0.500 0.500 0.000 Sb

***

Which of these has the lowest volume? PPdC3